An optimized crystal structure of BeMo2Au, computed with PBE.

Results
Formation enthalpy at 0 K: 12 kJ/mol of atoms
Excess energy over the best structure of this formula in the dataset: 6 meV per atom

Cell: 3.6207 3.7765 8.5838 Å, 90.00 90.00 90.00°
Closest atoms and distances in Å follow each position.
Space group Immm (No. 71)
Inequivalent atoms, fractional coordinates:
Be1 0.0000 0.0000 0.0000 x2  4 Au 2.62, 8 Mo 2.80-2.87
Mo1 0.0000 0.5000 0.2519 x4  4 Mo 2.62, 4 Be 2.80-2.87, 4 Au 2.82-2.85
Au1 0.0000 0.0000 0.5000 x2  4 Be 2.62, 8 Mo 2.82-2.85



An optimized crystal structure of BeMo2Au, computed with PBE.

Results
Formation enthalpy at 0 K: 16 kJ/mol of atoms
Excess energy over the best structure of this formula in the dataset: 54 meV per atom

Cell: 2.7613 4.1431 5.2121 Å, 90.00 95.55 90.00°
Closest atoms and distances in Å follow each position.
Space group P2/m (No. 10)
Inequivalent atoms, fractional coordinates:
Be1 0.0000 0.0000 0.0000 x1  2 Au 2.61, 8 Mo 2.63-2.88, 2 Be 2.76
Mo1 0.4503 0.5000 0.2245 x2  1 Mo 2.38, 2 Be 2.63
Au1 0.0000 0.0000 0.5000 x1  2 Be 2.61, 2 Au 2.76, 8 Mo 2.87



An optimized crystal structure of BeMoAu2, computed with PBE.

Results
Formation enthalpy at 0 K: 41 kJ/mol of atoms
Excess energy over the best structure of this formula in the dataset: 398 meV per atom

Cell: 3.9785 3.9785 3.9815 Å, 90.00 90.00 90.00°
Closest atoms and distances in Å follow each position.
Space group P4/mmm (No. 123)
Inequivalent atoms, fractional coordinates:
Be1 0.0000 0.0000 0.0000 x1  4 Mo 2.81, 8 Au 2.81
Mo1 0.5000 0.5000 0.0000 x1  4 Be 2.81, 8 Au 2.81
Au1 0.0000 0.5000 0.5000 x2  4 Au 2.81, 4 Mo 2.81, 4 Be 2.81



An optimized crystal structure of BeMoAu2, computed with PBE.

Results
Formation enthalpy at 0 K: 15 kJ/mol of atoms
Excess energy over the best structure of this formula in the dataset: 133 meV per atom

Cell: 2.8463 3.7878 5.8704 Å, 90.00 103.94 90.00°
Closest atoms and distances in Å follow each position.
Space group Pm (No. 6)
Inequivalent atoms, fractional coordinates:
Be1 0.0000 0.0000 0.0000 x1  3 Au 2.40-2.53, 4 Mo 2.57-2.58
Mo1 0.5860 0.5000 0.1768 x1  4 Be 2.57-2.58, 6 Au 2.82-2.86, 2 Mo 2.85
Au1 0.2194 0.0000 0.4442 x1  1 Be 2.53, 4 Mo 2.82
Au2 0.8694 0.5000 0.7415 x1  2 Be 2.40



An optimized crystal structure of BeMo3Au, computed with PBE.

Results
Formation enthalpy at 0 K: 248 kJ/mol of atoms
Excess energy over the best structure of this formula in the dataset: 1936 meV per atom

Cell: 4.8357 4.8357 4.8357 Å, 90.00 90.00 90.00°
Closest atoms and distances in Å follow each position.
Space group Pm-3m (No. 221)
Inequivalent atoms, fractional coordinates:
Be1 0.0000 0.0000 0.0000 x1  12 Mo 3.42
Mo1 0.0000 0.5000 0.5000 x3  2 Au 2.42
Au1 0.5000 0.5000 0.5000 x1  6 Mo 2.42



An optimized crystal structure of BeMoAu2, computed with PBE.

Results
Formation enthalpy at 0 K: 42 kJ/mol of atoms
Excess energy over the best structure of this formula in the dataset: 409 meV per atom

Cell: 2.8458 4.6889 4.7408 Å, 90.00 90.00 90.00°
Closest atoms and distances in Å follow each position.
Space group Pmmm (No. 47)
Inequivalent atoms, fractional coordinates:
Be1 0.0000 0.0000 0.0000 x1  4 Mo 2.74, 4 Au 2.76, 2 Be 2.85
Mo1 0.5000 0.5000 0.0000 x1  4 Be 2.74, 4 Au 2.76, 2 Mo 2.85
Au1 0.0000 0.5000 0.5000 x1  6 Au 2.74-2.85, 4 Mo 2.76
Au2 0.5000 0.0000 0.5000 x1  6 Au 2.74-2.85, 4 Be 2.76



An optimized crystal structure of BeMoAu2, computed with PBE.

Results
Formation enthalpy at 0 K: 25 kJ/mol of atoms
Excess energy over the best structure of this formula in the dataset: 231 meV per atom

Cell: 2.7691 4.1112 5.5513 Å, 90.00 103.66 90.00°
Closest atoms and distances in Å follow each position.
Space group P2/m (No. 10)
Inequivalent atoms, fractional coordinates:
Be1 0.0000 0.0000 0.0000 x1  4 Au 2.52, 2 Be 2.77, 2 Mo 2.78
Mo1 0.0000 0.0000 0.5000 x1  2 Mo 2.77, 2 Be 2.78, 8 Au 2.86
Au1 0.3745 0.5000 0.2349 x2  2 Be 2.52, 2 Au 2.77



An optimized crystal structure of BeMo4Au, computed with PBE.

Results
Formation enthalpy at 0 K: 61 kJ/mol of atoms

Cell: 7.3520 7.3520 7.3520 Å, 90.00 90.00 90.00°
Closest atoms and distances in Å follow each position.
Space group F-43m (No. 216)
Inequivalent atoms, fractional coordinates:
Be1 0.0000 0.0000 0.0000 x4  12 Mo 3.05, 4 Au 3.18
Mo1 0.1256 0.1256 0.6256 x16  6 Mo 2.59-2.61
Au1 0.2500 0.2500 0.2500 x4  12 Mo 3.05, 4 Be 3.18



An optimized crystal structure of BeMoAu2, computed with PBE.

Results
Formation enthalpy at 0 K: 39 kJ/mol of atoms
Excess energy over the best structure of this formula in the dataset: 384 meV per atom

Cell: 4.1338 4.1338 7.3259 Å, 90.00 90.00 90.00°
Closest atoms and distances in Å follow each position.
Space group I-4m2 (No. 119)
Inequivalent atoms, fractional coordinates:
Be1 0.0000 0.0000 0.0000 x2  4 Mo 2.76, 8 Au 2.76-2.92
Mo1 0.0000 0.5000 0.7500 x2  8 Au 2.76-2.92, 4 Be 2.76
Au1 0.0000 0.0000 0.5000 x2  4 Mo 2.76, 4 Au 2.76, 4 Be 2.92
Au2 0.0000 0.5000 0.2500 x2  4 Be 2.76, 4 Au 2.76, 4 Mo 2.92



An optimized crystal structure of BeMo2Au, computed with PBE.

Results
Formation enthalpy at 0 K: 56 kJ/mol of atoms
Excess energy over the best structure of this formula in the dataset: 465 meV per atom

Cell: 4.4077 4.4077 3.1171 Å, 90.00 90.00 90.00°
Closest atoms and distances in Å follow each position.
Space group P4/mmm (No. 123)
Inequivalent atoms, fractional coordinates:
Be1 0.0000 0.0000 0.0000 x1  8 Mo 2.70
Mo1 0.0000 0.5000 0.5000 x2  4 Au 2.70, 4 Be 2.70
Au1 0.5000 0.5000 0.0000 x1  8 Mo 2.70



An optimized crystal structure of BeMo2Au, computed with PBE.

Results
Formation enthalpy at 0 K: 20 kJ/mol of atoms
Excess energy over the best structure of this formula in the dataset: 90 meV per atom

Cell: 3.2629 3.2629 5.6075 Å, 90.00 90.00 90.00°
Closest atoms and distances in Å follow each position.
Space group P4/mmm (No. 123)
Inequivalent atoms, fractional coordinates:
Be1 0.0000 0.0000 0.0000 x1  8 Mo 2.58, 2 Au 2.80
Mo1 0.5000 0.5000 0.2039 x2  1 Mo 2.29
Au1 0.0000 0.0000 0.5000 x1  2 Be 2.80, 8 Mo 2.84



An optimized crystal structure of Be2MoAu2, computed with PBE.

Results
Formation enthalpy at 0 K: 5 kJ/mol of atoms
Excess energy over the best structure of this formula in the dataset: 0 meV per atom

Cell: 6.9445 6.9445 2.8000 Å, 90.00 90.00 90.00°
Closest atoms and distances in Å follow each position.
Space group P4/mbm (No. 127)
Inequivalent atoms, fractional coordinates:
Be1 0.1401 0.3599 0.0000 x4  6 Au 2.42-2.51, 2 Mo 2.68
Mo1 0.0000 0.0000 0.0000 x2  4 Be 2.68, 2 Mo 2.80, 8 Au 2.96
Au1 0.1593 0.6593 0.5000 x4  6 Be 2.42-2.51



An optimized crystal structure of BeMoAu2, computed with PBE.

Results
Formation enthalpy at 0 K: 39 kJ/mol of atoms
Excess energy over the best structure of this formula in the dataset: 383 meV per atom

Cell: 6.3364 6.3364 6.3364 Å, 90.00 90.00 90.00°
Closest atoms and distances in Å follow each position.
Space group Fm-3m (No. 225)
Inequivalent atoms, fractional coordinates:
Be1 0.0000 0.0000 0.0000 x4  8 Au 2.74
Mo1 0.0000 0.0000 0.5000 x4  8 Au 2.74
Au1 0.2500 0.2500 0.2500 x8  4 Mo 2.74, 4 Be 2.74



An optimized crystal structure of BeMo2Au, computed with PBE.

Results
Formation enthalpy at 0 K: 19 kJ/mol of atoms
Excess energy over the best structure of this formula in the dataset: 82 meV per atom

Cell: 3.2426 4.5222 8.0810 Å, 90.00 90.00 90.00°
Closest atoms and distances in Å follow each position.
Space group Imm2 (No. 44)
Inequivalent atoms, fractional coordinates:
Be1 0.0000 0.0000 0.0000 x2  2 Au 2.37, 2 Mo 2.59
Mo1 0.0000 0.0000 0.5021 x2  2 Mo 2.57, 4 Be 2.78, 4 Au 2.83-2.84
Mo2 0.0000 0.5000 0.2496 x2  2 Mo 2.57, 2 Be 2.59, 4 Au 2.80
Au1 0.0000 0.5000 0.7134 x2  2 Be 2.37



An optimized crystal structure of BeMo2Au, computed with PBE.

Results
Formation enthalpy at 0 K: 54 kJ/mol of atoms
Excess energy over the best structure of this formula in the dataset: 444 meV per atom

Cell: 3.6133 3.6133 19.4719 Å, 90.00 90.00 90.00°
Closest atoms and distances in Å follow each position.
Space group I-42d (No. 122)
Inequivalent atoms, fractional coordinates:
Be1 0.0000 0.0000 0.0000 x4  4 Au 2.56, 4 Mo 2.73
Mo1 0.2324 0.2500 0.1250 x8  4 Mo 2.47-2.65, 2 Be 2.73
Au1 0.0000 0.0000 0.5000 x4  4 Be 2.56, 4 Mo 2.77



An optimized crystal structure of BeMo2Au, computed with PBE.

Results
Formation enthalpy at 0 K: 11 kJ/mol of atoms
Excess energy over the best structure of this formula in the dataset: 2 meV per atom

Cell: 3.3459 4.2862 8.1582 Å, 90.00 90.00 90.00°
Closest atoms and distances in Å follow each position.
Space group Cmm2 (No. 35)
Inequivalent atoms, fractional coordinates:
Be1 0.0000 0.0000 0.0000 x2  2 Au 2.42, 2 Mo 2.45
Mo1 0.0000 0.0000 0.4913 x2  6 Mo 2.72-2.77, 2 Au 2.93
Mo2 0.0000 0.5000 0.2200 x2  2 Be 2.45, 4 Mo 2.72
Au1 0.0000 0.5000 0.7859 x2  2 Be 2.42



An optimized crystal structure of BeMoAu2, computed with PBE.

Results
Formation enthalpy at 0 K: 29 kJ/mol of atoms
Excess energy over the best structure of this formula in the dataset: 276 meV per atom

Cell: 2.7753 3.9841 5.6187 Å, 90.00 90.00 90.00°
Closest atoms and distances in Å follow each position.
Space group Pmmm (No. 47)
Inequivalent atoms, fractional coordinates:
Be1 0.0000 0.0000 0.0000 x1  2 Be 2.78, 8 Au 2.78, 2 Mo 2.81
Mo1 0.0000 0.0000 0.5000 x1  2 Mo 2.78, 2 Be 2.81, 8 Au 2.83
Au1 0.5000 0.5000 0.2426 x2  4 Au 2.73-2.89, 4 Be 2.78, 4 Mo 2.83



An optimized crystal structure of BeMo2Au, computed with PBE.

Results
Formation enthalpy at 0 K: 26 kJ/mol of atoms
Excess energy over the best structure of this formula in the dataset: 153 meV per atom

Cell: 8.9868 2.6773 5.0544 Å, 90.00 95.48 90.00°
Closest atoms and distances in Å follow each position.
Space group Cm (No. 8)
Inequivalent atoms, fractional coordinates:
Be1 0.0000 0.0000 0.0000 x2  5 Mo 2.68-2.75, 3 Au 2.68-2.78, 2 Be 2.68
Mo1 0.2547 0.0000 0.7651 x2  5 Mo 2.53-2.83, 3 Be 2.68-2.75, 2 Au 2.76
Mo2 0.4949 0.0000 0.5406 x2  5 Mo 2.53-2.83, 2 Be 2.68
Au1 0.2476 0.5000 0.2419 x2  3 Be 2.68-2.78, 2 Au 2.68, 7 Mo 2.76-2.96



An optimized crystal structure of BeMoAu2, computed with PBE.

Results
Formation enthalpy at 0 K: 36 kJ/mol of atoms
Excess energy over the best structure of this formula in the dataset: 347 meV per atom

Cell: 4.0776 4.0776 7.5595 Å, 90.00 90.00 90.00°
Closest atoms and distances in Å follow each position.
Space group I4/mmm (No. 139)
Inequivalent atoms, fractional coordinates:
Be1 0.0000 0.0000 0.0000 x2  8 Au 2.78, 4 Mo 2.88
Mo1 0.0000 0.0000 0.5000 x2  8 Au 2.78, 4 Be 2.88
Au1 0.0000 0.5000 0.2500 x4  4 Mo 2.78, 4 Be 2.78, 4 Au 2.88



An optimized crystal structure of BeMo2Au, computed with PBE.

Results
Formation enthalpy at 0 K: 23 kJ/mol of atoms
Excess energy over the best structure of this formula in the dataset: 125 meV per atom

Cell: 5.0725 8.5879 2.7448 Å, 90.00 90.00 90.00°
Closest atoms and distances in Å follow each position.
Space group Cmmm (No. 65)
Inequivalent atoms, fractional coordinates:
Be1 0.0000 0.0000 0.0000 x2  2 Au 2.54, 2 Be 2.74
Mo1 0.2500 0.2500 0.5000 x4  4 Mo 2.54-2.74
Au1 0.0000 0.5000 0.0000 x2  2 Be 2.54, 2 Au 2.74